[1]
The following is a DFT calculation (PBE-GGA) of a relaxed structure of Li2YCd2.

As for the formation energy from the elements: -107.3 meV per atom. The calculation puts the energy relative to the lowest polymorph listed for this composition at 0.131 eV per atom. For the total energy, the calculation gives -25.3 eV for the cell shown. The density of states at the Fermi level is 4.10 states/eV/f.u. The spin magnetization comes out at 0.39 μB per formula unit.

It has space group P4/mbm (No. 127), with a = 8.284 Å, b = 8.284 Å, c = 3.223 Å, α = 90.00°, β = 90.00° and γ = 90.00°. The inequivalent atoms are Li at (0.166, 0.334, 0.000), Y at (0.000, 0.000, 0.500) and Cd at (0.130, 0.630, 0.500).

[2]
The following is a DFT calculation (PBE-GGA) of a relaxed structure of K2BiI5.

Its raw formation energy is -0.90 eV/atom. The calculation puts the energy relative to the lowest polymorph listed for this composition at 0.034 eV per atom. For the total energy, the calculation gives -21.1 eV for the cell shown. The density of states at the Fermi level is 0.00 states/eV/f.u. The spin magnetization comes out at 0.00 μB per formula unit.

It has space group P1 (No. 1), with a = 8.693 Å, b = 8.697 Å, c = 8.707 Å, α = 94.30°, β = 117.54° and γ = 117.49°. The inequivalent atoms are K at (0.000, 0.000, 0.000), K at (0.001, 0.499, 0.501), Bi at (0.502, 0.332, 0.833), I at (0.021, 0.125, 0.626), I at (0.501, 0.126, 0.109), I at (0.501, 0.606, 0.627), I at (0.506, 0.091, 0.593) and I at (0.983, 0.608, 0.110).

[3]
The following is a DFT calculation (PBE-GGA) of a relaxed structure of ZrWN2.

Its raw formation energy is -0.58 eV/atom. The calculation puts the energy relative to the lowest polymorph listed for this composition at 0.039 eV per atom. For the total energy, the calculation gives -121.4 eV for the cell shown. The density of states at the Fermi level is 1.34 states/eV/f.u. The spin magnetization comes out at 0.00 μB per formula unit.

It has space group R-3m (No. 166, hexagonal axes), with a = 3.2422 Å, b = 3.2422 Å, c = 18.5460 Å, α = 90.00°, β = 90.00° and γ = 120.00°. The inequivalent atoms are Zr at (0.0000, 0.0000, 0.0000), W at (0.0000, 0.0000, 0.5000) and N at (0.0000, 0.0000, 0.3957).

Q: The lowest energy relative to the lowest polymorph listed for this composition belongs to which entry?
A: K2BiI5